# 1
! Mg3CrIn (PBE, relaxed); values from VASP
&SYSTEM
  ibrav = 0, nat = 5, ntyp = 3
/
ATOMIC_SPECIES
Mg 24.30 Mg.upf
Cr 52.00 Cr.upf
In 114.82 In.upf
ATOMIC_POSITIONS crystal
Mg 0.0000 0.0000 0.5000
Mg 0.0000 0.5000 0.0000
Mg 0.5000 0.0000 0.0000
Cr 0.0000 0.0000 0.0000
In 0.5000 0.5000 0.5000
CELL_PARAMETERS angstrom
5.2474 0.0000 0.0000
0.0000 5.2474 0.0000
0.0000 0.0000 5.2474
! Calculated volume   28.90 A^3/atom
! Calculated total energy   -13.91 eV for the cell shown
! Energy relative to the elements   0.646 eV per atom
! Symmetry   Pm-3m, No. 221


# 2
! SrGa3IrPt (PBE, relaxed); values from VASP
&SYSTEM
  ibrav = 0, nat = 12, ntyp = 4
/
ATOMIC_SPECIES
Sr 87.62 Sr.upf
Ga 69.72 Ga.upf
Ir 192.22 Ir.upf
Pt 195.08 Pt.upf
ATOMIC_POSITIONS crystal
Sr 0.2327 0.7673 0.7500
Sr 0.7673 0.2327 0.2500
Ga 0.2493 0.2493 0.0000
Ga 0.2493 0.2493 0.5000
Ga 0.2639 0.7361 0.2500
Ga 0.7361 0.2639 0.7500
Ga 0.7507 0.7507 0.0000
Ga 0.7507 0.7507 0.5000
Ir 0.4630 0.5370 0.2500
Ir 0.5370 0.4630 0.7500
Pt 0.0594 0.9406 0.2500
Pt 0.9406 0.0594 0.7500
CELL_PARAMETERS angstrom
3.9427 -5.7695 0.0000
3.9427 5.7695 0.0000
0.0000 0.0000 5.9505
! Calculated volume   22.56 A^3/atom
! Calculated total energy   -57.44 eV for the cell shown
! Energy relative to the elements   -0.509 eV per atom
! Symmetry   Cmcm, No. 63


# 3
! Be2GaAgAs (PBE, relaxed); values from VASP
&SYSTEM
  ibrav = 0, nat = 5, ntyp = 4
/
ATOMIC_SPECIES
Be 9.01 Be.upf
Ga 69.72 Ga.upf
Ag 107.87 Ag.upf
As 74.92 As.upf
ATOMIC_POSITIONS crystal
Be 0.0000 0.5000 0.0000
Be 0.5000 0.0000 0.0000
Ga 0.0000 0.0000 0.0000
Ag 0.0000 0.0000 0.5000
As 0.5000 0.5000 0.5000
CELL_PARAMETERS angstrom
4.2052 0.0000 0.0000
0.0000 4.2052 0.0000
0.0000 0.0000 5.1643
! Calculated volume   18.26 A^3/atom
! Calculated total energy   -14.00 eV for the cell shown
! Energy relative to the elements   0.796 eV per atom
! Symmetry   P4/mmm, No. 123


# 4
! CaZr2Te (PBE, relaxed); values from VASP
&SYSTEM
  ibrav = 0, nat = 4, ntyp = 3
/
ATOMIC_SPECIES
Ca 40.08 Ca.upf
Zr 91.22 Zr.upf
Te 127.60 Te.upf
ATOMIC_POSITIONS crystal
Ca 0.0000 0.0000 0.0000
Zr 0.2374 0.2374 0.2374
Zr 0.7626 0.7626 0.7626
Te 0.5000 0.5000 0.5000
CELL_PARAMETERS angstrom
1.7834 1.0297 9.9671
-1.7834 1.0297 9.9671
0.0000 -2.0593 9.9671
! Calculated volume   27.45 A^3/atom
! Calculated total energy   -22.42 eV for the cell shown
! Symmetry   R-3m, No. 166


# 5
! Rb2GaAsBr6 (PBE, relaxed); values from VASP
&SYSTEM
  ibrav = 0, nat = 10, ntyp = 4
/
ATOMIC_SPECIES
Rb 85.47 Rb.upf
Ga 69.72 Ga.upf
As 74.92 As.upf
Br 79.90 Br.upf
ATOMIC_POSITIONS crystal
Rb 0.2500 0.7500 0.5000
Rb 0.7500 0.2500 0.5000
Ga 0.0000 0.0000 0.0000
As 0.5000 0.5000 0.0000
Br 0.2592 0.2592 0.0000
Br 0.2596 0.2596 0.5191
Br 0.2596 0.7404 0.0000
Br 0.7404 0.2596 0.0000
Br 0.7404 0.7404 0.4809
Br 0.7408 0.7408 0.0000
CELL_PARAMETERS angstrom
-3.9467 3.9467 5.5760
3.9467 -3.9467 5.5760
3.9467 3.9467 -5.5760
! Calculated volume   34.74 A^3/atom
! Calculated total energy   -29.74 eV for the cell shown
! Symmetry   I4/mmm, No. 139


# 6
! Y4HgRu (PBE, relaxed); values from VASP
&SYSTEM
  ibrav = 0, nat = 6, ntyp = 3
/
ATOMIC_SPECIES
Y 88.91 Y.upf
Hg 200.59 Hg.upf
Ru 101.07 Ru.upf
ATOMIC_POSITIONS crystal
Y 0.3759 0.3759 0.3759
Y 0.3759 0.3759 0.8722
Y 0.3759 0.8722 0.3759
Y 0.8722 0.3759 0.3759
Hg 0.0000 0.0000 0.0000
Ru 0.7500 0.7500 0.7500
CELL_PARAMETERS angstrom
0.0000 4.2787 4.2787
4.2787 0.0000 4.2787
4.2787 4.2787 0.0000
! Calculated volume   26.11 A^3/atom
! Calculated total energy   -31.53 eV for the cell shown
! Energy relative to the elements   0.651 eV per atom
! Symmetry   F-43m, No. 216